# KRbGe3 (PBE, relaxed)
data_KRbGe3
_space_group_name_H-M_alt 'P 1'
_space_group_IT_number 1
_space_group_name_Hall 'P 1'
_cell_length_a 5.9373
_cell_length_b 5.9373
_cell_length_c 5.9373
_cell_angle_alpha 90.00
_cell_angle_beta 90.00
_cell_angle_gamma 90.00
loop_
_atom_site_label
_atom_site_type_symbol
_atom_site_fract_x
_atom_site_fract_y
_atom_site_fract_z
Ge1 Ge 0.0000 0.0000 0.5000
Ge2 Ge 0.0000 0.5000 0.0000
Ge3 Ge 0.5000 0.0000 0.0000
Rb1 Rb 0.0000 0.0000 0.0000
K1 K 0.5000 0.5000 0.5000
# Distance to the lowest polymorph of the same formula, meV per atom: 161
# ΔH_f (0 K), kcal/mol of atoms: 28.0
# Symmetry: Pm-3m
# Theoretical density, g/cm3: 2.72
# E_tot, eV/cell: -9.85

---

# Li3ZnS (PBE, relaxed)
data_Li3ZnS
_space_group_name_H-M_alt 'P 1'
_space_group_IT_number 1
_space_group_name_Hall 'P 1'
_cell_length_a 4.6673
_cell_length_b 4.6673
_cell_length_c 4.6673
_cell_angle_alpha 90.00
_cell_angle_beta 90.00
_cell_angle_gamma 90.00
loop_
_atom_site_label
_atom_site_type_symbol
_atom_site_fract_x
_atom_site_fract_y
_atom_site_fract_z
Li1 Li 0.5000 0.0000 0.0000
Li2 Li 0.0000 0.0000 0.5000
Li3 Li 0.0000 0.5000 0.0000
S1 S 0.5000 0.5000 0.5000
Zn1 Zn 0.0000 0.0000 0.0000
# Distance to the lowest polymorph of the same formula, meV per atom: 637
# Symmetry: Pm-3m
# Theoretical density, g/cm3: 1.93
# E_tot, eV/cell: -10.82
# Formation energy (no corrections), eV/atom: 0.0637

---

# Sm6Au3O (PBE, relaxed)
data_Sm6Au3O
_space_group_name_H-M_alt 'P 1'
_space_group_IT_number 1
_space_group_name_Hall 'P 1'
_cell_length_a 6.5997
_cell_length_b 7.7182
_cell_length_c 10.2404
_cell_angle_alpha 90.00
_cell_angle_beta 89.31
_cell_angle_gamma 90.00
loop_
_atom_site_label
_atom_site_type_symbol
_atom_site_fract_x
_atom_site_fract_y
_atom_site_fract_z
Sm1 Sm 0.8447 0.9557 0.2311
Sm2 Sm 0.6809 0.1572 0.9423
Sm3 Sm 0.1426 0.2886 0.0674
Sm4 Sm 0.1553 0.0443 0.7689
Sm5 Sm 0.3447 0.5443 0.7311
Sm6 Sm 0.3574 0.7886 0.4326
Sm7 Sm 0.8191 0.6572 0.5577
Sm8 Sm 0.6553 0.4557 0.2689
Sm9 Sm 0.6426 0.2114 0.5674
Sm10 Sm 0.1809 0.3428 0.4423
Sm11 Sm 0.3191 0.8428 0.0577
Sm12 Sm 0.8574 0.7114 0.9326
Au1 Au 0.5708 0.8902 0.7347
Au2 Au 0.4292 0.1098 0.2653
Au3 Au 0.5000 0.5000 0.0000
Au4 Au 0.0708 0.6098 0.2347
Au5 Au 0.0000 0.0000 0.5000
Au6 Au 0.9292 0.3902 0.7653
O1 O 0.5000 0.5000 0.5000
O2 O 0.0000 0.0000 0.0000
# Symmetry: P2_1/c
# Theoretical density, g/cm3: 9.61
# E_tot, eV/cell: -105.94
# Formation energy (no corrections), eV/atom: -0.9866